This record from Alexandria via LeMat-Bulk describes a relaxed structure of Li2AlZn. The functional is PBE.

Cell: 5.1233 5.1233 5.1233 Å, 144.70 127.72 64.66°
Closest atoms and distances in Å follow each position.
Sites, in units of the cell vectors:
Zn (0.5035, 0.5035, 0.0000)  6 Li 2.59-2.74, 2 Al 2.65
Al (0.2548, 0.7548, 0.5000)  2 Zn 2.65, 6 Li 2.71-2.74
Li (0.9983, 0.9983, 0.0000)  2 Li 2.70, 2 Al 2.71, 4 Zn 2.74
Li (0.7434, 0.2434, 0.5000)  2 Zn 2.59, 2 Li 2.70, 4 Al 2.74

Results
**Energy relative to the elements**: -0.6 eV/f.u.
**Calculated volume**: 15.18 Å³ per atom